Record 1
! ZnHgMo2 PBE relaxed; values from VASP
! Space-group type: Imm2
! Energy above the most stable polymorph in this dataset (kJ/mol of formula units): 35.2
! Calculated formation energy (eV/atom): 0.360
&SYSTEM
  ibrav = 0, nat = 4, ntyp = 3
/
ATOMIC_SPECIES
Zn 65.41 Zn.upf
Hg 200.59 Hg.upf
Mo 95.94 Mo.upf
CELL_PARAMETERS angstrom
-1.687 2.322 4.332
1.687 -2.322 4.332
1.687 2.322 -4.332
ATOMIC_POSITIONS angstrom
Zn 0.000 0.000 0.000
Hg 1.687 0.000 2.162
Mo 0.000 0.000 4.553
Mo 0.000 2.322 2.084

Record 2
! ScCr2W2 PBE relaxed; values from VASP
! Space-group type: I4/mmm
! Calculated formation energy (eV/atom): 0.418
&SYSTEM
  ibrav = 0, nat = 5, ntyp = 3
/
ATOMIC_SPECIES
Sc 44.96 Sc.upf
Cr 52.00 Cr.upf
W 183.84 W.upf
CELL_PARAMETERS angstrom
-2.075 2.075 4.916
2.075 -2.075 4.916
2.075 2.075 -4.916
ATOMIC_POSITIONS angstrom
Sc 0.000 0.000 0.000
Cr 0.000 0.000 3.796
Cr 0.000 0.000 6.036
W 2.075 0.000 2.458
W 0.000 2.075 2.458

Record 3
! SbMo7 PBE relaxed; values from VASP
! Formation energy from raw total energies (eV/atom): 0.379
! Space-group type: Fm-3m
&SYSTEM
  ibrav = 0, nat = 8, ntyp = 2
/
ATOMIC_SPECIES
Sb 121.76 Sb.upf
Mo 95.94 Mo.upf
CELL_PARAMETERS angstrom
0.000 4.041 4.041
4.041 0.000 4.041
4.041 4.041 0.000
ATOMIC_POSITIONS angstrom
Sb 0.000 0.000 0.000
Mo 2.021 2.021 0.000
Mo 2.021 0.000 2.021
Mo 4.041 2.021 2.021
Mo 0.000 2.021 2.021
Mo 2.021 4.041 2.021
Mo 2.021 2.021 4.041
Mo 4.041 4.041 4.041

Record 4
! TiCo2H2 PBE relaxed; values from VASP
! Space-group type: I4/mmm
! Energy above the most stable polymorph in this dataset (kJ/mol of formula units): 0.0
&SYSTEM
  ibrav = 0, nat = 5, ntyp = 3
/
ATOMIC_SPECIES
Ti 47.87 Ti.upf
Co 58.93 Co.upf
H 1.01 H.upf
CELL_PARAMETERS angstrom
-1.575 1.575 4.135
1.575 -1.575 4.135
1.575 1.575 -4.135
ATOMIC_POSITIONS angstrom
Ti 0.000 0.000 0.000
Co 0.000 0.000 2.856
Co 0.000 0.000 5.413
H 1.575 0.000 2.067
H 0.000 1.575 2.067

Record 5
! LiBe2Se PBE relaxed; values from VASP
! Formation energy from raw total energies (eV/atom): 0.411
! Space-group type: F-43m
&SYSTEM
  ibrav = 0, nat = 4, ntyp = 3
/
ATOMIC_SPECIES
Li 6.94 Li.upf
Be 9.01 Be.upf
Se 78.96 Se.upf
CELL_PARAMETERS angstrom
0.000 3.015 3.015
3.015 0.000 3.015
3.015 3.015 0.000
ATOMIC_POSITIONS angstrom
Li 0.000 0.000 0.000
Be 3.015 3.015 3.015
Be 4.522 4.522 4.522
Se 1.507 1.507 1.507

Record 6
! Cd2ReWI PBE relaxed; values from VASP
! Formation energy from raw total energies (eV/atom): 1.500
! Space-group type: P4/mmm
&SYSTEM
  ibrav = 0, nat = 5, ntyp = 4
/
ATOMIC_SPECIES
Cd 112.41 Cd.upf
Re 186.21 Re.upf
W 183.84 W.upf
I 126.90 I.upf
CELL_PARAMETERS angstrom
5.540 0.000 0.000
0.000 5.540 0.000
0.000 0.000 4.668
ATOMIC_POSITIONS angstrom
Cd 0.000 2.770 0.000
Cd 2.770 0.000 0.000
Re 0.000 0.000 2.334
W 0.000 0.000 0.000
I 2.770 2.770 2.334

no.,magnetic moment (μB per atom)
1,0.000
2,0.108
3,0.000
4,0.147
5,0.025
6,0.000